The following is a DFT calculation (PBE-GGA) of crystalline Y2TeMoH at its relaxed geometry.

Summary:
total moment	0.0	μB/f.u.
volume	97	Å³/f.u.
VASP energy	-0.4696	Ry per atom
SG	No. 123

a = 5.040 Å, b = 5.040 Å, c = 3.817 Å
α = 90.00°, β = 90.00°, γ = 90.00°
Positions (direct):
Y: 0.000 0.500 0.000
Y: 0.500 0.000 0.000
Te: 0.000 0.000 0.500
Mo: 0.500 0.500 0.500
H: 0.500 0.500 0.000

=====

The following is a DFT calculation (PBE-GGA) of crystalline Zn2TeMoH at its relaxed geometry.

Summary:
total moment	3.4	μB/f.u.
volume	100	Å³/f.u.
VASP energy	-0.2116	Ry per atom
SG	No. 123

a = 5.254 Å, b = 5.254 Å, c = 3.622 Å
α = 90.00°, β = 90.00°, γ = 90.00°
Positions (direct):
Zn: 0.000 0.500 0.000
Zn: 0.500 0.000 0.000
Te: 0.000 0.000 0.000
Mo: 0.500 0.500 0.500
H: 0.000 0.000 0.500

=====

The following is a DFT calculation (PBE-GGA) of crystalline ThMo2H8 at its relaxed geometry.

Summary:
total moment	0.0	μB/f.u.
volume	91	Å³/f.u.
VASP energy	-0.3817	Ry per atom
SG	No. 38

a = 4.594 Å, b = 4.811 Å, c = 4.811 Å
α = 121.31°, β = 90.00°, γ = 90.00°
Positions (direct):
Th: 0.000 0.000 0.000
Mo: 0.500 0.282 0.629
Mo: 0.500 0.629 0.282
H: 0.213 0.528 0.973
H: 0.213 0.973 0.528
H: 0.234 0.489 0.489
H: 0.500 0.187 0.960
H: 0.500 0.960 0.187
H: 0.766 0.489 0.489
H: 0.787 0.528 0.973
H: 0.787 0.973 0.528

=====

The following is a DFT calculation (PBE-GGA) of crystalline TiMoH4 at its relaxed geometry.

Summary:
total moment	0.0	μB/f.u.
volume	43	Å³/f.u.
energy above the lowest structure with this stoichiometry	0.031	eV per formula unit
SG	No. 141

a = 5.398 Å, b = 5.398 Å, c = 5.398 Å
α = 132.03°, β = 132.03°, γ = 70.18°
Positions (direct):
Ti: 0.375 0.625 0.750
Ti: 0.625 0.375 0.250
Mo: 0.125 0.875 0.250
Mo: 0.875 0.125 0.750
H: 0.000 0.249 0.249
H: 0.000 0.751 0.751
H: 0.249 0.000 0.749
H: 0.249 0.500 0.249
H: 0.500 0.249 0.749
H: 0.500 0.751 0.251
H: 0.751 0.000 0.251
H: 0.751 0.500 0.751

=====

The following is a DFT calculation (PBE-GGA) of crystalline Ti2MoH2 at its relaxed geometry.

Summary:
total moment	0.0	μB/f.u.
volume	53	Å³/f.u.
energy above the lowest structure with this stoichiometry	0.000	eV per formula unit
SG	No. 139

a = 5.624 Å, b = 5.624 Å, c = 5.624 Å
α = 146.82°, β = 146.82°, γ = 47.63°
Positions (direct):
Ti: 0.147 0.147 0.000
Ti: 0.853 0.853 0.000
Mo: 0.500 0.500 0.000
H: 0.250 0.750 0.500
H: 0.750 0.250 0.500

=====

The following is a DFT calculation (PBE-GGA) of crystalline TiMoH2 at its relaxed geometry.

Summary:
total moment	0.0	μB/f.u.
volume	37	Å³/f.u.
energy above the lowest structure with this stoichiometry	2.113	eV per formula unit
SG	No. 225

a = 3.743 Å, b = 3.743 Å, c = 3.743 Å
α = 60.00°, β = 60.00°, γ = 60.00°
Positions (direct):
Ti: 0.000 0.000 0.000
Mo: 0.500 0.500 0.500
H: 0.250 0.250 0.250
H: 0.750 0.750 0.750

=====

The following is a DFT calculation (PBE-GGA) of crystalline TiMoH2 at its relaxed geometry.

Summary:
total moment	0.0	μB/f.u.
volume	39	Å³/f.u.
energy above the lowest structure with this stoichiometry	0.225	eV per formula unit
SG	No. 122

a = 5.599 Å, b = 5.599 Å, c = 5.599 Å
α = 138.24°, β = 138.24°, γ = 60.54°
Positions (direct):
Ti: 0.000 0.000 0.000
Ti: 0.750 0.250 0.500
Mo: 0.250 0.750 0.500
Mo: 0.500 0.500 0.000
H: 0.131 0.625 0.006
H: 0.375 0.381 0.506
H: 0.619 0.125 0.994
H: 0.875 0.869 0.494

=====

The following is a DFT calculation (PBE-GGA) of crystalline TiMoH3 at its relaxed geometry.

Summary:
total moment	0.0	μB/f.u.
volume	40	Å³/f.u.
energy above the lowest structure with this stoichiometry	0.671	eV per formula unit
SG	No. 221

a = 3.415 Å, b = 3.415 Å, c = 3.415 Å
α = 90.00°, β = 90.00°, γ = 90.00°
Positions (direct):
Ti: 0.000 0.000 0.000
Mo: 0.500 0.500 0.500
H: 0.000 0.000 0.500
H: 0.000 0.500 0.000
H: 0.500 0.000 0.000

=====

The following is a DFT calculation (PBE-GGA) of crystalline Ti3MoH8 at its relaxed geometry.

Summary:
total moment	0.0	μB/f.u.
volume	85	Å³/f.u.
VASP energy	-0.4041	Ry per atom
SG	No. 221

a = 4.397 Å, b = 4.397 Å, c = 4.397 Å
α = 90.00°, β = 90.00°, γ = 90.00°
Positions (direct):
Ti: 0.000 0.000 0.500
Ti: 0.000 0.500 0.000
Ti: 0.500 0.000 0.000
Mo: 0.500 0.500 0.500
H: 0.251 0.251 0.251
H: 0.251 0.251 0.749
H: 0.251 0.749 0.251
H: 0.251 0.749 0.749
H: 0.749 0.251 0.251
H: 0.749 0.251 0.749
H: 0.749 0.749 0.251
H: 0.749 0.749 0.749

=====

The following is a DFT calculation (PBE-GGA) of crystalline TiMoH2 at its relaxed geometry.

Summary:
total moment	0.0	μB/f.u.
volume	37	Å³/f.u.
energy above the lowest structure with this stoichiometry	0.910	eV per formula unit
SG	No. 160

a = 5.414 Å, b = 5.414 Å, c = 5.414 Å
α = 30.70°, β = 30.70°, γ = 30.70°
Positions (direct):
Ti: 0.000 0.000 0.000
Mo: 0.171 0.171 0.171
H: 0.421 0.421 0.421
H: 0.584 0.584 0.584

=====

The following is a DFT calculation (PBE-GGA) of crystalline Ti3MoH6 at its relaxed geometry.

Summary:
total moment	0.0	μB/f.u.
volume	82	Å³/f.u.
VASP energy	-0.4260	Ry per atom
SG	No. 148

a = 5.465 Å, b = 5.465 Å, c = 5.465 Å
α = 89.92°, β = 89.92°, γ = 89.92°
Positions (direct):
Ti: 0.006 0.507 0.750
Ti: 0.250 0.994 0.493
Ti: 0.493 0.250 0.994
Ti: 0.507 0.750 0.006
Ti: 0.750 0.006 0.507
Ti: 0.994 0.493 0.250
Mo: 0.000 0.000 0.000
Mo: 0.500 0.500 0.500
H: 0.010 0.862 0.694
H: 0.138 0.306 0.990
H: 0.192 0.637 0.483
H: 0.306 0.990 0.138
H: 0.363 0.517 0.808
H: 0.483 0.192 0.637
H: 0.517 0.808 0.363
H: 0.637 0.483 0.192
H: 0.694 0.010 0.862
H: 0.808 0.363 0.517
H: 0.862 0.694 0.010
H: 0.990 0.138 0.306

=====

The following is a DFT calculation (PBE-GGA) of crystalline TiMoH2 at its relaxed geometry.

Summary:
total moment	0.0	μB/f.u.
volume	38	Å³/f.u.
energy above the lowest structure with this stoichiometry	0.224	eV per formula unit
SG	No. 2

a = 2.836 Å, b = 5.506 Å, c = 5.642 Å
α = 116.81°, β = 104.42°, γ = 90.50°
Positions (direct):
Ti: 0.000 0.000 0.000
Ti: 0.500 0.500 0.000
Mo: 0.000 0.000 0.500
Mo: 0.000 0.500 0.500
H: 0.067 0.387 0.149
H: 0.421 0.113 0.850
H: 0.579 0.887 0.150
H: 0.933 0.613 0.851

=====

The following is a DFT calculation (PBE-GGA) of crystalline Ti2MoH2 at its relaxed geometry.

Summary:
total moment	0.0	μB/f.u.
volume	57	Å³/f.u.
energy above the lowest structure with this stoichiometry	1.129	eV per formula unit
SG	No. 123

a = 3.088 Å, b = 3.088 Å, c = 5.941 Å
α = 90.00°, β = 90.00°, γ = 90.00°
Positions (direct):
Ti: 0.000 0.000 0.236
Ti: 0.000 0.000 0.764
Mo: 0.500 0.500 0.500
H: 0.000 0.500 0.000
H: 0.500 0.000 0.000

=====

The following is a DFT calculation (PBE-GGA) of crystalline Ti2MoH at its relaxed geometry.

Summary:
total moment	0.0	μB/f.u.
volume	52	Å³/f.u.
energy above the lowest structure with this stoichiometry	0.000	eV per formula unit
SG	No. 166

a = 6.554 Å, b = 6.554 Å, c = 6.554 Å
α = 27.13°, β = 27.13°, γ = 27.13°
Positions (direct):
Ti: 0.231 0.231 0.231
Ti: 0.769 0.769 0.769
Mo: 0.000 0.000 0.000
H: 0.500 0.500 0.500

=====

The following is a DFT calculation (PBE-GGA) of crystalline TiMoH4 at its relaxed geometry.

Summary:
total moment	0.0	μB/f.u.
volume	42	Å³/f.u.
energy above the lowest structure with this stoichiometry	0.000	eV per formula unit
SG	No. 10

a = 3.119 Å, b = 3.119 Å, c = 4.369 Å
α = 90.00°, β = 90.12°, γ = 90.00°
Positions (direct):
Ti: 0.000 0.000 0.000
Mo: 0.500 0.500 0.500
H: 0.000 0.500 0.253
H: 0.000 0.500 0.747
H: 0.500 0.000 0.253
H: 0.500 0.000 0.747

=====

The following is a DFT calculation (PBE-GGA) of crystalline Ti2Mo2H at its relaxed geometry.

Summary:
total moment	0.0	μB/f.u.
volume	71	Å³/f.u.
energy above the lowest structure with this stoichiometry	0.000	eV per formula unit
SG	No. 127

a = 5.379 Å, b = 5.379 Å, c = 4.935 Å
α = 90.00°, β = 90.00°, γ = 90.00°
Positions (direct):
Ti: 0.161 0.339 0.000
Ti: 0.339 0.839 0.000
Ti: 0.661 0.161 0.000
Ti: 0.839 0.661 0.000
Mo: 0.162 0.662 0.500
Mo: 0.338 0.162 0.500
Mo: 0.662 0.838 0.500
Mo: 0.838 0.338 0.500
H: 0.000 0.000 0.500
H: 0.500 0.500 0.500

=====

The following is a DFT calculation (PBE-GGA) of crystalline TiMoH3 at its relaxed geometry.

Summary:
total moment	0.0	μB/f.u.
volume	42	Å³/f.u.
energy above the lowest structure with this stoichiometry	0.000	eV per formula unit
SG	No. 221

a = 3.481 Å, b = 3.481 Å, c = 3.481 Å
α = 90.00°, β = 90.00°, γ = 90.00°
Positions (direct):
Ti: 0.000 0.000 0.000
Mo: 0.500 0.500 0.500
H: 0.000 0.500 0.500
H: 0.500 0.000 0.500
H: 0.500 0.500 0.000

=====

The following is a DFT calculation (PBE-GGA) of crystalline Ti3MoH at its relaxed geometry.

Summary:
total moment	0.0	μB/f.u.
volume	107	Å³/f.u.
energy above the lowest structure with this stoichiometry	7.215	eV per formula unit
SG	No. 221

a = 4.754 Å, b = 4.754 Å, c = 4.754 Å
α = 90.00°, β = 90.00°, γ = 90.00°
Positions (direct):
Ti: 0.000 0.000 0.500
Ti: 0.000 0.500 0.000
Ti: 0.500 0.000 0.000
Mo: 0.000 0.000 0.000
H: 0.500 0.500 0.500

=====

The following is a DFT calculation (PBE-GGA) of crystalline Ti2MoH4 at its relaxed geometry.

Summary:
total moment	0.0	μB/f.u.
volume	60	Å³/f.u.
VASP energy	-0.4361	Ry per atom
SG	No. 74

a = 5.534 Å, b = 5.534 Å, c = 5.534 Å
α = 119.99°, β = 119.98°, γ = 90.03°
Positions (direct):
Ti: 0.000 0.000 0.000
Ti: 0.500 0.000 0.000
Ti: 0.500 0.000 0.500
Ti: 0.500 0.500 0.500
Mo: 0.125 0.375 0.750
Mo: 0.875 0.625 0.250
H: 0.260 0.240 0.480
H: 0.260 0.241 0.019
H: 0.260 0.779 0.020
H: 0.278 0.759 0.519
H: 0.722 0.241 0.481
H: 0.740 0.221 0.980
H: 0.740 0.759 0.981
H: 0.740 0.760 0.520

=====

The following is a DFT calculation (PBE-GGA) of crystalline Ti2MoH at its relaxed geometry.

Summary:
total moment	0.0	μB/f.u.
volume	55	Å³/f.u.
energy above the lowest structure with this stoichiometry	1.399	eV per formula unit
SG	No. 123

a = 3.089 Å, b = 3.089 Å, c = 5.771 Å
α = 90.00°, β = 90.00°, γ = 90.00°
Positions (direct):
Ti: 0.000 0.000 0.241
Ti: 0.000 0.000 0.759
Mo: 0.500 0.500 0.500
H: 0.500 0.500 0.000